[1]
DFT (PBE) results for a geometry-optimized NaTbCdTe3 structure.

Unit cell a=8.745 b=4.423 c=10.618 alpha=90.00 beta=104.91 gamma=90.00
Element x y z (fractional)
Na (0.211, 0.250, 0.232)
Na (0.789, 0.750, 0.768)
Tb (0.323, 0.750, 0.855)
Tb (0.677, 0.250, 0.145)
Cd (0.084, 0.250, 0.603)
Cd (0.916, 0.750, 0.397)
Te (0.075, 0.250, 0.865)
Te (0.259, 0.750, 0.538)
Te (0.435, 0.750, 0.155)
Te (0.565, 0.250, 0.845)
Te (0.741, 0.250, 0.462)
Te (0.925, 0.750, 0.135)

Values from the calculation:
energy relative to the lowest polymorph listed for this composition	0	meV/atom
magnetization	0.000	μB/atom
calculated density	5.67	g/cm3
space-group type	P2_1/m, No. 11

[2]
DFT (PBE) results for a geometry-optimized NaTbCdTe3 structure.

Unit cell a=11.719 b=4.406 c=14.765 alpha=90.00 beta=90.00 gamma=90.00
Element x y z (fractional)
Na (0.245, 0.250, 0.021)
Na (0.255, 0.750, 0.521)
Na (0.745, 0.250, 0.479)
Na (0.755, 0.750, 0.979)
Tb (0.003, 0.750, 0.749)
Tb (0.497, 0.250, 0.249)
Tb (0.503, 0.750, 0.751)
Tb (0.997, 0.250, 0.251)
Cd (0.247, 0.750, 0.223)
Cd (0.253, 0.250, 0.723)
Cd (0.747, 0.750, 0.277)
Cd (0.753, 0.250, 0.777)
Te (0.055, 0.750, 0.109)
Te (0.061, 0.250, 0.608)
Te (0.247, 0.250, 0.345)
Te (0.253, 0.750, 0.845)
Te (0.439, 0.750, 0.108)
Te (0.445, 0.250, 0.609)
Te (0.555, 0.750, 0.391)
Te (0.561, 0.250, 0.892)
Te (0.747, 0.250, 0.155)
Te (0.753, 0.750, 0.655)
Te (0.939, 0.750, 0.392)
Te (0.945, 0.250, 0.891)

Values from the calculation:
energy relative to the lowest polymorph listed for this composition	3	meV/atom
magnetization	0.001	μB/atom
calculated density	5.90	g/cm3
space-group type	Pnma, No. 62